Compound: Ti2GaN
Source: Alexandria via LeMat-Bulk
Functional: GGA-PBE
Structure: optimized geometry

Values from the calculation:
E_form (uncorrected) ... -1.184 eV/atom
Fermi-level density of states ... 6.67 states/eV per cell
Crystal system ... trigonal
Volume ... 13.153 Å³ per atom
E_tot ... -95.6 eV/cell

a = 3.0034 Å, b = 3.0034 Å, c = 20.1959 Å
α = 90.00°, β = 90.00°, γ = 120.00°
Space group R3m (No. 160, hexagonal axes)
Unique sites:
Ti: 0.0000 0.0000 0.0000 [3 per cell]
Ti: 0.0000 0.0000 0.2183 [3 per cell]
Ga: 0.0000 0.0000 0.7765 [3 per cell]
N: 0.0000 0.0000 0.6084 [3 per cell]